Entry 1:
Computed, not measured: a geometry-optimized Pm2TlNi2 structure at the PBE level of DFT.

Results
**SG**: Cmmm
**Energy of formation**: -0.420 eV/atom

Cell: 7.6733 7.6733 3.8073 Å, 90.00 90.00 150.15°
With the nearest neighbours (Å) after each atom.
Fractional coordinates of all 5 atoms:
Pm: 0.1388 0.8612 0.0000  6 Ni 2.90-3.03
Pm: 0.8612 0.1388 0.0000  6 Ni 2.90-3.03
Tl: 0.5000 0.5000 0.5000  2 Ni 3.00
Ni: 0.2976 0.7024 0.5000  2 Ni 2.43
Ni: 0.7024 0.2976 0.5000  2 Ni 2.43

Entry 2:
Computed, not measured: a geometry-optimized Pm4TlNi structure at the PBE level of DFT.

Results
**SG**: C2/c
**Energy of formation**: -0.202 eV/atom
**Excess energy over the best structure of this formula in the dataset**: 58 meV/atom

Cell: 8.3400 8.3400 6.0767 Å, 102.69 102.69 115.28°
With the nearest neighbours (Å) after each atom.
Fractional coordinates of all 12 atoms:
Pm: 0.0679 0.6976 0.9228  2 Ni 3.14-3.19, 2 Tl 3.27-3.31, 2 Pm 3.42-3.50
Pm: 0.1930 0.3355 0.6509  2 Ni 2.79-2.85
Pm: 0.3024 0.9321 0.5772  2 Ni 3.14-3.19, 2 Tl 3.27-3.31, 2 Pm 3.42-3.50
Pm: 0.3355 0.1930 0.1509  2 Ni 2.79-2.85
Pm: 0.6645 0.8070 0.8491  2 Ni 2.79-2.85
Pm: 0.6976 0.0679 0.4228  2 Ni 3.14-3.19, 2 Tl 3.27-3.31, 2 Pm 3.42-3.50
Pm: 0.8070 0.6645 0.3491  2 Ni 2.79-2.85
Pm: 0.9321 0.3024 0.0772  2 Ni 3.14-3.19, 2 Tl 3.27-3.31, 2 Pm 3.42-3.50
Tl: 0.3812 0.6188 0.2500  8 Pm 3.27-3.44
Tl: 0.6188 0.3812 0.7500  8 Pm 3.27-3.44
Ni: 0.0007 0.9993 0.7500  4 Pm 2.79-2.85, 2 Ni 3.04
Ni: 0.9993 0.0007 0.2500  4 Pm 2.79-2.85, 2 Ni 3.04

Entry 3:
Computed, not measured: a geometry-optimized Pm4Tl2Ni structure at the PBE level of DFT.

Results
**SG**: C2/m
**Energy of formation**: -0.204 eV/atom

Cell: 9.0507 9.0507 6.6567 Å, 111.09 111.09 24.52°
With the nearest neighbours (Å) after each atom.
Fractional coordinates of all 7 atoms:
Pm: 0.0855 0.0855 0.4222  1 Ni 2.66
Pm: 0.3879 0.3879 0.0497  2 Ni 2.87
Pm: 0.6121 0.6121 0.9503  2 Ni 2.87
Pm: 0.9145 0.9145 0.5778  1 Ni 2.66
Tl: 0.2570 0.2570 0.3004  6 Pm 3.32-3.42, 2 Tl 3.36
Tl: 0.7430 0.7430 0.6996  6 Pm 3.32-3.42, 2 Tl 3.36
Ni: 0.0000 0.0000 0.0000  6 Pm 2.66-2.87

Number 1: size of the total moment 0.000 μB/atom. Number 2: size of the total moment 0.000 μB/atom. Number 3: size of the total moment 0.000 μB/atom.